Below is an optimized crystal structure of KNa2Ca, with properties calculated at the PBE level.

Cell and atoms, written as POSCAR:
```
KNa2Ca
1.0
4.0416 0.0000 0.0000
-2.0208 3.5001 0.0000
0.0000 0.0000 38.9317
K Na Ca
3 6 3
Cartesian
0.0000 0.0000 0.0000
0.0000 2.3334 25.9545
2.0208 1.1667 12.9772
0.0000 0.0000 16.4494
0.0000 0.0000 22.4842
0.0000 2.3334 3.4722
0.0000 2.3334 9.5069
2.0208 1.1667 29.4267
2.0208 1.1667 35.4614
0.0000 0.0000 6.4903
0.0000 2.3334 32.4448
2.0208 1.1667 19.4675
```

Properties
M_tot (μB per formula unit): 0.00
Formation energy (meV/atom): 82
Symmetry: R3m, No. 160
Distance to the lowest polymorph of the same formula (meV per atom): 13

=====

Below is an optimized crystal structure of BaZn3F, with properties calculated at the PBE level.

Cell and atoms, written as POSCAR:
```
BaZn3F
1.0
5.0309 0.0000 0.0000
0.0000 5.0309 0.0000
0.0000 0.0000 5.0309
Ba Zn F
1 3 1
Cartesian
0.0000 0.0000 0.0000
0.0000 2.5155 2.5155
2.5155 0.0000 2.5155
2.5155 2.5155 0.0000
2.5155 2.5155 2.5155
```

Properties
M_tot (μB per formula unit): 0.00
Symmetry: Pm-3m, No. 221
Uncorrected formation energy (eV per atom): -0.43
Distance to the lowest polymorph of the same formula (meV per atom): 0

=====

Below is an optimized crystal structure of KSc3Rh, with properties calculated at the PBE level.

Cell and atoms, written as POSCAR:
```
KSc3Rh
1.0
4.6985 0.0000 0.0000
0.0000 4.6985 0.0000
0.0000 0.0000 4.6985
K Sc Rh
1 3 1
Cartesian
0.0000 0.0000 0.0000
0.0000 0.0000 2.3492
0.0000 2.3492 0.0000
2.3492 0.0000 0.0000
2.3492 2.3492 2.3492
```

Properties
M_tot (μB per formula unit): 0.00
Formation energy (meV/atom): 1431
Symmetry: Pm-3m, No. 221
Distance to the lowest polymorph of the same formula (meV per atom): 1480